Entry 1:
DFT (PBE) results for a relaxed structure of PmAg4Hg4.

abc: 6.308 6.308 10.306
angles: 90.00 90.00 90.00
Space group P4_2/nmc (No. 137, origin choice 2)
Symmetry-distinct sites (fractional):
Pm  0.250  0.750  0.250 [2 per cell]
Ag  0.034  0.250  0.189 [8 per cell]
Hg  0.008  0.250  0.476 [8 per cell]

***

Entry 2:
DFT (PBE) results for a relaxed structure of CsNb3Br.

abc: 5.117 5.117 5.117
angles: 90.00 90.00 90.00
Space group Pm-3m (No. 221)
Symmetry-distinct sites (fractional):
Cs  0.000  0.000  0.000 [1 per cell]
Nb  0.000  0.000  0.500 [3 per cell]
Br  0.500  0.500  0.500 [1 per cell]

raw formation energy: 13.93 eV per formula unit
offset from the most stable computed form: 107.7 kJ per mole of atoms

***

Entry 3:
DFT (PBE) results for a relaxed structure of LuSnRu2.

abc: 6.537 6.537 6.537
angles: 90.00 90.00 90.00
Space group Fm-3m (No. 225)
Symmetry-distinct sites (fractional):
Lu  0.000  0.000  0.000 [4 per cell]
Sn  0.000  0.000  0.500 [4 per cell]
Ru  0.250  0.250  0.250 [8 per cell]

***

Entry 4:
DFT (PBE) results for a relaxed structure of Li2Pm3Ag3.

abc: 3.622 5.229 20.704
angles: 90.00 90.00 90.00
Space group Immm (No. 71)
Symmetry-distinct sites (fractional):
Li  0.000  0.000  0.234 [4 per cell]
Pm  0.000  0.000  0.000 [2 per cell]
Pm  0.000  0.500  0.128 [4 per cell]
Ag  0.000  0.000  0.500 [2 per cell]
Ag  0.000  0.500  0.368 [4 per cell]

***

Entry 5:
DFT (PBE) results for a relaxed structure of TcAg2Cl.

abc: 6.775 6.775 6.775
angles: 90.00 90.00 90.00
Space group Fm-3m (No. 225)
Symmetry-distinct sites (fractional):
Tc  0.000  0.000  0.000 [4 per cell]
Ag  0.250  0.250  0.250 [8 per cell]
Cl  0.000  0.000  0.500 [4 per cell]

raw formation energy: 3.57 eV per formula unit
offset from the most stable computed form: 63.2 kJ per mole of atoms

***

Entry 6:
DFT (PBE) results for a relaxed structure of NaTaZn.

abc: 2.962 3.784 11.498
angles: 90.00 90.00 90.00
Space group Pmm2 (No. 25)
Symmetry-distinct sites (fractional):
Na  0.000  0.000  0.000 [1 per cell]
Na  0.500  0.500  0.243 [1 per cell]
Ta  0.000  0.000  0.665 [1 per cell]
Ta  0.500  0.500  0.793 [1 per cell]
Zn  0.000  0.000  0.416 [1 per cell]
Zn  0.500  0.500  0.531 [1 per cell]

offset from the most stable computed form: 13.9 kJ per mole of atoms

***

Entry 7:
DFT (PBE) results for a relaxed structure of AlGa6Ag.

abc: 4.788 5.882 6.711
angles: 100.04 110.24 111.55
Space group P-1 (No. 2)
Symmetry-distinct sites (fractional):
Al  0.000  0.000  0.000 [1 per cell]
Ga  0.170  0.943  0.392 [2 per cell]
Ga  0.357  0.735  0.968 [2 per cell]
Ga  0.401  0.521  0.280 [2 per cell]
Ag  0.000  0.500  0.500 [1 per cell]

***

Entry 8:
DFT (PBE) results for a relaxed structure of TeAuI6.

abc: 7.008 7.573 8.474
angles: 106.89 102.69 104.22
Space group P-1 (No. 2)
Symmetry-distinct sites (fractional):
Te  0.000  0.000  0.000 [1 per cell]
Au  0.500  0.500  0.000 [1 per cell]
I  0.203  0.172  0.772 [2 per cell]
I  0.212  0.693  0.930 [2 per cell]
I  0.318  0.262  0.331 [2 per cell]

raw formation energy: -0.11 eV per formula unit

***

Entry 9:
DFT (PBE) results for a relaxed structure of GePICl2.

abc: 5.323 5.323 5.411
angles: 90.00 90.00 90.00
Space group P4/mmm (No. 123)
Symmetry-distinct sites (fractional):
Ge  0.000  0.000  0.000 [1 per cell]
P  0.500  0.500  0.000 [1 per cell]
I  0.500  0.500  0.500 [1 per cell]
Cl  0.000  0.500  0.500 [2 per cell]

raw formation energy: 4.08 eV per formula unit
offset from the most stable computed form: 66.9 kJ per mole of atoms

***

Entry 10:
DFT (PBE) results for a relaxed structure of Cs3SrFe2Cl9.

abc: 7.4164 7.4164 9.1547
angles: 90.00 90.00 120.00
Space group P-3m1 (No. 164)
Symmetry-distinct sites (fractional):
Cs  0.0000  0.0000  0.0000 [1 per cell]
Cs  0.3333  0.6667  0.6754 [2 per cell]
Sr  0.0000  0.0000  0.5000 [1 per cell]
Fe  0.3333  0.6667  0.1490 [2 per cell]
Cl  0.0000  0.5000  0.0000 [3 per cell]
Cl  0.1781  0.3563  0.3135 [6 per cell]

raw formation energy: -23.38 eV per formula unit

***

Entry 11:
DFT (PBE) results for a relaxed structure of TbDy2Ru.

abc: 3.916 11.923 9.118
angles: 90.00 90.00 90.00
Space group Cmcm (No. 63)
Symmetry-distinct sites (fractional):
Tb  0.000  0.076  0.250 [4 per cell]
Dy  0.000  0.357  0.068 [8 per cell]
Ru  0.000  0.257  0.750 [4 per cell]

offset from the most stable computed form: 1.8 kJ per mole of atoms

***

Entry 12:
DFT (PBE) results for a relaxed structure of La2TbHoSb4.

abc: 7.791 4.514 7.813
angles: 90.00 109.54 90.00
Space group P2/m (No. 10)
Symmetry-distinct sites (fractional):
La  0.000  0.000  0.000 [1 per cell]
La  0.000  0.500  0.500 [1 per cell]
Tb  0.500  0.000  0.500 [1 per cell]
Ho  0.500  0.500  0.000 [1 per cell]
Sb  0.263  0.500  0.253 [2 per cell]
Sb  0.264  0.000  0.756 [2 per cell]

raw formation energy: -9.60 eV per formula unit

***

Total magnetization (computed, μB/atom): 0.00 0.00 0.00 0.00 0.90 0.00 0.00 0.00 0.00 0.53 0.00 0.00
Raw total energy (computed, eV/atom): -1.980 -3.760 -7.208 -3.486 -3.587 -4.534 -3.054 -1.979 -2.239 -4.078 -6.078 -5.644